Record 1
The following is a DFT calculation (PBE-GGA) of crystalline HoAl4Tc at its relaxed geometry.

Cell and atoms, written as CIF:
```
data_HoAl4Tc
_cell_length_a 7.839
_cell_length_b 4.108
_cell_length_c 6.898
_cell_angle_alpha 90.00
_cell_angle_beta 90.00
_cell_angle_gamma 90.00
_space_group_name_H-M_alt 'P 1'
_space_group_IT_number 1
loop_
_space_group_symop_operation_xyz
'x,y,z'
loop_
_atom_site_label
_atom_site_fract_x
_atom_site_fract_y
_atom_site_fract_z
Ho1 0.250 0.000 0.130
Ho2 0.750 0.000 0.870
Al1 0.000 0.000 0.500
Al2 0.064 0.500 0.813
Al3 0.250 0.500 0.461
Al4 0.436 0.500 0.813
Al5 0.500 0.000 0.500
Al6 0.564 0.500 0.187
Al7 0.750 0.500 0.539
Al8 0.936 0.500 0.187
Tc1 0.250 0.000 0.704
Tc2 0.750 0.000 0.296
```

## Properties
The value obtained for the total DFT energy (no corrections) is -64.796 eV for the cell shown.

Record 2
The following is a DFT calculation (PBE-GGA) of crystalline Ho2Al5Tc at its relaxed geometry.

Cell and atoms, written as CIF:
```
data_Ho2Al5Tc
_cell_length_a 5.821
_cell_length_b 5.821
_cell_length_c 5.821
_cell_angle_alpha 113.25
_cell_angle_beta 113.25
_cell_angle_gamma 102.16
_space_group_name_H-M_alt 'P 1'
_space_group_IT_number 1
loop_
_space_group_symop_operation_xyz
'x,y,z'
loop_
_atom_site_label
_atom_site_fract_x
_atom_site_fract_y
_atom_site_fract_z
Ho1 0.000 0.500 0.500
Ho2 0.500 0.000 0.500
Al1 0.457 0.457 0.000
Al2 0.538 0.538 0.575
Al3 0.538 0.962 0.000
Al4 0.962 0.538 0.000
Al5 0.962 0.962 0.425
Tc1 0.104 0.104 0.000
```

## Properties
The value obtained for the total DFT energy (no corrections) is -40.435 eV for the cell shown.

Record 3
The following is a DFT calculation (PBE-GGA) of crystalline HoThAlTc at its relaxed geometry.

Cell and atoms, written as CIF:
```
data_HoThAlTc
_cell_length_a 5.058
_cell_length_b 5.058
_cell_length_c 5.058
_cell_angle_alpha 60.00
_cell_angle_beta 60.00
_cell_angle_gamma 60.00
_space_group_name_H-M_alt 'P 1'
_space_group_IT_number 1
loop_
_space_group_symop_operation_xyz
'x,y,z'
loop_
_atom_site_label
_atom_site_fract_x
_atom_site_fract_y
_atom_site_fract_z
Ho1 0.000 0.000 0.000
Th1 0.500 0.500 0.500
Al1 0.750 0.750 0.750
Tc1 0.250 0.250 0.250
```

## Properties
The value obtained for the total DFT energy (no corrections) is -26.711 eV for the cell shown.

Record 4
The following is a DFT calculation (PBE-GGA) of crystalline HoTiAlTc at its relaxed geometry.

Cell and atoms, written as CIF:
```
data_HoTiAlTc
_cell_length_a 4.698
_cell_length_b 4.698
_cell_length_c 4.698
_cell_angle_alpha 60.00
_cell_angle_beta 60.00
_cell_angle_gamma 60.00
_space_group_name_H-M_alt 'P 1'
_space_group_IT_number 1
loop_
_space_group_symop_operation_xyz
'x,y,z'
loop_
_atom_site_label
_atom_site_fract_x
_atom_site_fract_y
_atom_site_fract_z
Ho1 0.000 0.000 0.000
Ti1 0.500 0.500 0.500
Al1 0.250 0.250 0.250
Tc1 0.750 0.750 0.750
```

## Properties
The value obtained for the total DFT energy (no corrections) is -27.379 eV for the cell shown.

Record 5
The following is a DFT calculation (PBE-GGA) of crystalline HoTmAlTc at its relaxed geometry.

Cell and atoms, written as CIF:
```
data_HoTmAlTc
_cell_length_a 4.929
_cell_length_b 4.929
_cell_length_c 4.929
_cell_angle_alpha 60.00
_cell_angle_beta 60.00
_cell_angle_gamma 60.00
_space_group_name_H-M_alt 'P 1'
_space_group_IT_number 1
loop_
_space_group_symop_operation_xyz
'x,y,z'
loop_
_atom_site_label
_atom_site_fract_x
_atom_site_fract_y
_atom_site_fract_z
Ho1 0.000 0.000 0.000
Tm1 0.500 0.500 0.500
Al1 0.250 0.250 0.250
Tc1 0.750 0.750 0.750
```

## Properties
The value obtained for the total DFT energy (no corrections) is -23.930 eV for the cell shown.

Record 6
The following is a DFT calculation (PBE-GGA) of crystalline HoAlTe at its relaxed geometry.

Cell and atoms, written as CIF:
```
data_HoAlTe
_cell_length_a 4.250
_cell_length_b 4.250
_cell_length_c 12.737
_cell_angle_alpha 99.18
_cell_angle_beta 99.18
_cell_angle_gamma 60.03
_space_group_name_H-M_alt 'P 1'
_space_group_IT_number 1
loop_
_space_group_symop_operation_xyz
'x,y,z'
loop_
_atom_site_label
_atom_site_fract_x
_atom_site_fract_y
_atom_site_fract_z
Ho1 0.096 0.096 0.279
Ho2 0.904 0.904 0.721
Al1 0.181 0.181 0.545
Al2 0.819 0.819 0.455
Te1 0.388 0.388 0.149
Te2 0.612 0.612 0.851
```

## Properties
The value obtained for the total DFT energy (no corrections) is -26.492 eV for the cell shown.